# 1
The following is a DFT calculation (PBE) of an optimized crystal structure of Pm12GaCo5.

a b c (Å): 8.470 8.470 8.470
angles (deg): 108.03 110.65 109.75
Fractional coordinates of all 18 atoms:
Pm (0.810, 0.016, 0.205)
Pm (0.696, 0.682, 0.378)
Ga (0.000, 0.500, 0.500)
Pm (0.483, 0.186, 0.297)
Pm (0.190, 0.395, 0.205)
Pm (0.888, 0.186, 0.703)
Co (0.500, 0.113, 0.613)
Pm (0.304, 0.682, 0.986)
Pm (0.304, 0.318, 0.622)
Pm (0.190, 0.984, 0.795)
Pm (0.696, 0.318, 0.014)
Co (0.500, 0.887, 0.387)
Co (0.377, 0.377, 0.000)
Co (0.623, 0.623, 0.000)
Pm (0.112, 0.814, 0.297)
Co (0.000, 0.000, 0.000)
Pm (0.810, 0.605, 0.795)
Pm (0.517, 0.814, 0.703)

Computed properties:
Its energy relative to the elements is -142.8 meV per atom. The calculation puts the density at 7.5 Mg/m³. Its density of states at the Fermi level is 15.2 states/eV per cell. As for the electronic total energy: -5.45 eV/atom.



# 2
The following is a DFT calculation (PBE) of an optimized crystal structure of Pm4Ga5Co2.

a b c (Å): 4.153 6.943 8.448
angles (deg): 87.13 90.00 90.00
Fractional coordinates of all 11 atoms:
Ga (0.000, 0.601, 0.369)
Pm (0.500, 0.753, 0.622)
Pm (0.500, 0.211, 0.844)
Ga (0.000, 0.125, 0.120)
Co (0.000, 0.950, 0.378)
Ga (0.000, 0.875, 0.880)
Ga (0.000, 0.500, 0.000)
Pm (0.500, 0.247, 0.378)
Ga (0.000, 0.399, 0.631)
Co (0.000, 0.050, 0.622)
Pm (0.500, 0.789, 0.156)

Computed properties:
Its energy relative to the elements is -424.5 meV per atom. The calculation puts the density at 7.1 Mg/m³. Its density of states at the Fermi level is 9.1 states/eV per cell. As for the electronic total energy: -4.82 eV/atom.



# 3
The following is a DFT calculation (PBE) of an optimized crystal structure of Pm2Ga6Co3.

a b c (Å): 4.068 7.463 7.463
angles (deg): 120.00 90.00 90.00
Each line ends with the local moment (μB).
Fractional coordinates of all 11 atoms:
Ga (0.500, 0.695, 0.695)  0.00
Ga (0.000, 0.202, 0.202)  0.01
Ga (0.500, 0.000, 0.305)  0.00
Co (0.500, 0.369, 0.369)  0.22
Co (0.500, 0.000, 0.631)  0.22
Pm (0.000, 0.667, 0.333)  0.01
Co (0.500, 0.631, 0.000)  0.22
Ga (0.500, 0.305, 0.000)  0.00
Ga (0.000, 0.798, 0.000)  0.01
Pm (0.000, 0.333, 0.667)  0.01
Ga (0.000, 0.000, 0.798)  0.01

Computed properties:
Its energy relative to the elements is -341.0 meV per atom. The calculation puts the density at 7.5 Mg/m³. Its density of states at the Fermi level is 12.3 states/eV per cell. As for the electronic total energy: -4.79 eV/atom.



# 4
The following is a DFT calculation (PBE) of an optimized crystal structure of Pm3Ga5Co6.

a b c (Å): 4.158 7.893 7.893
angles (deg): 71.94 74.73 74.73
Each line ends with the local moment (μB).
Fractional coordinates of all 14 atoms:
Co (0.105, 0.622, 0.169)  0.46
Pm (0.313, 0.687, 0.687)  -0.05
Ga (0.682, 0.651, 0.986)  -0.03
Ga (0.318, 0.349, 0.014)  -0.03
Ga (0.000, 0.500, 0.500)  -0.01
Co (0.500, 0.712, 0.288)  1.13
Co (0.895, 0.831, 0.378)  0.46
Co (0.105, 0.169, 0.622)  0.46
Ga (0.318, 0.014, 0.349)  -0.03
Co (0.500, 0.288, 0.712)  1.13
Pm (0.687, 0.313, 0.313)  -0.05
Ga (0.682, 0.986, 0.651)  -0.03
Pm (0.000, 0.000, 0.000)  -0.06
Co (0.895, 0.378, 0.831)  0.46

Computed properties:
Its energy relative to the elements is -388.9 meV per atom. The calculation puts the density at 8.1 Mg/m³. Its density of states at the Fermi level is 13.1 states/eV per cell. As for the electronic total energy: -5.53 eV/atom.



# 5
The following is a DFT calculation (PBE) of an optimized crystal structure of Pm5GaCo.

a b c (Å): 6.172 6.172 11.406
angles (deg): 76.57 76.57 71.70
Fractional coordinates of all 14 atoms:
Pm (0.429, 0.052, 0.362)
Pm (0.434, 0.785, 0.952)
Co (0.000, 0.000, 0.500)
Ga (0.554, 0.446, 0.750)
Pm (0.566, 0.215, 0.048)
Pm (0.215, 0.566, 0.548)
Pm (0.975, 0.025, 0.750)
Pm (0.571, 0.948, 0.638)
Pm (0.785, 0.434, 0.452)
Ga (0.446, 0.554, 0.250)
Pm (0.948, 0.571, 0.138)
Pm (0.025, 0.975, 0.250)
Co (0.000, 0.000, 0.000)
Pm (0.052, 0.429, 0.862)

Computed properties:
Its energy relative to the elements is -82.9 meV per atom. The calculation puts the density at 7.2 Mg/m³. Its density of states at the Fermi level is 14.7 states/eV per cell. As for the electronic total energy: -4.92 eV/atom.



# 6
The following is a DFT calculation (PBE) of an optimized crystal structure of PmGaCo.

a b c (Å): 4.530 6.791 7.292
angles (deg): 90.00 90.00 90.00
Fractional coordinates of all 12 atoms:
Co (0.750, 0.937, 0.854)
Pm (0.750, 0.310, 0.034)
Co (0.250, 0.437, 0.646)
Pm (0.750, 0.190, 0.534)
Ga (0.750, 0.614, 0.689)
Ga (0.750, 0.886, 0.189)
Co (0.750, 0.563, 0.354)
Pm (0.250, 0.810, 0.466)
Co (0.250, 0.063, 0.146)
Pm (0.250, 0.690, 0.966)
Ga (0.250, 0.114, 0.811)
Ga (0.250, 0.386, 0.311)

Computed properties:
Its energy relative to the elements is -436.4 meV per atom. The calculation puts the density at 8.1 Mg/m³. Its density of states at the Fermi level is 9.7 states/eV per cell. As for the electronic total energy: -5.40 eV/atom. The relative energy among the computed polymorphs is 0.00 kcal/mol of atoms.



# 7
The following is a DFT calculation (PBE) of an optimized crystal structure of PmGaCo.

a b c (Å): 4.281 6.453 7.772
angles (deg): 114.53 105.98 90.00
Fractional coordinates of all 9 atoms:
Ga (0.000, 0.246, 0.000)
Pm (0.331, 0.987, 0.662)
Co (0.145, 0.598, 0.290)
Pm (0.000, 0.754, 0.000)
Ga (0.336, 0.471, 0.671)
Pm (0.669, 0.326, 0.338)
Co (0.855, 0.307, 0.710)
Co (0.500, 0.450, 0.000)
Ga (0.664, 0.800, 0.329)

Computed properties:
Its energy relative to the elements is -334.8 meV per atom. The calculation puts the density at 7.3 Mg/m³. Its density of states at the Fermi level is 8.8 states/eV per cell. As for the electronic total energy: -5.30 eV/atom. The relative energy among the computed polymorphs is 2.34 kcal/mol of atoms.



# 8
The following is a DFT calculation (PBE) of an optimized crystal structure of PmGa5Co.

a b c (Å): 4.261 4.261 6.952
angles (deg): 90.00 90.00 90.00
Fractional coordinates of all 7 atoms:
Ga (0.000, 0.500, 0.686)
Ga (0.500, 0.500, 0.000)
Ga (0.500, 0.000, 0.686)
Ga (0.500, 0.000, 0.314)
Co (0.000, 0.000, 0.500)
Ga (0.000, 0.500, 0.314)
Pm (0.000, 0.000, 0.000)

Computed properties:
Its energy relative to the elements is -458.5 meV per atom. The calculation puts the density at 7.3 Mg/m³. Its density of states at the Fermi level is 2.4 states/eV per cell. As for the electronic total energy: -4.31 eV/atom.



# 9
The following is a DFT calculation (PBE) of an optimized crystal structure of PmGa5Co2.

a b c (Å): 3.977 6.313 6.313
angles (deg): 66.06 71.64 71.64
Fractional coordinates of all 8 atoms:
Ga (0.657, 0.540, 0.147)
Ga (0.657, 0.147, 0.540)
Ga (0.343, 0.853, 0.460)
Ga (0.000, 0.500, 0.500)
Co (0.233, 0.267, 0.267)
Co (0.767, 0.733, 0.733)
Pm (0.000, 0.000, 0.000)
Ga (0.343, 0.460, 0.853)

Computed properties:
Its energy relative to the elements is -420.6 meV per atom. The calculation puts the density at 7.6 Mg/m³. Its density of states at the Fermi level is 5.3 states/eV per cell. As for the electronic total energy: -4.68 eV/atom.



# 10
The following is a DFT calculation (PBE) of an optimized crystal structure of PmGa2Co3.

a b c (Å): 5.142 6.135 6.135
angles (deg): 98.84 90.00 90.00
Each line ends with the local moment (μB).
Fractional coordinates of all 12 atoms:
Ga (0.500, 0.226, 0.774)  -0.04
Ga (0.000, 0.774, 0.226)  -0.04
Ga (0.500, 0.774, 0.226)  -0.04
Co (0.750, 0.081, 0.446)  0.83
Co (0.750, 0.446, 0.081)  0.83
Pm (0.250, 0.305, 0.305)  -0.06
Co (0.250, 0.919, 0.554)  0.83
Co (0.250, 0.933, 0.933)  1.19
Co (0.750, 0.067, 0.067)  1.19
Pm (0.750, 0.695, 0.695)  -0.06
Co (0.250, 0.554, 0.919)  0.83
Ga (0.000, 0.226, 0.774)  -0.04

Computed properties:
Its energy relative to the elements is -217.1 meV per atom. The calculation puts the density at 8.0 Mg/m³. Its density of states at the Fermi level is 13.5 states/eV per cell. As for the electronic total energy: -5.57 eV/atom. The relative energy among the computed polymorphs is 2.74 kcal/mol of atoms.



# 11
The following is a DFT calculation (PBE) of an optimized crystal structure of Pm2Ga4Co5.

a b c (Å): 5.453 5.354 7.630
angles (deg): 79.51 69.06 59.39
Each line ends with the local moment (μB).
Fractional coordinates of all 11 atoms:
Ga (0.788, 0.683, 0.740)  0.00
Co (0.500, 0.000, 0.000)  -0.23
Ga (0.529, 0.683, 0.260)  0.00
Co (0.250, 0.500, 0.500)  0.07
Co (0.500, 0.500, 0.000)  -0.34
Co (0.000, 0.500, 0.000)  -0.34
Pm (0.870, 0.000, 0.259)  0.04
Ga (0.212, 0.317, 0.260)  0.00
Co (0.750, 0.500, 0.500)  0.07
Ga (0.471, 0.317, 0.740)  0.00
Pm (0.130, 0.000, 0.741)  0.04

Computed properties:
Its energy relative to the elements is -324.5 meV per atom. The calculation puts the density at 8.0 Mg/m³. Its density of states at the Fermi level is 9.1 states/eV per cell. As for the electronic total energy: -5.52 eV/atom.



# 12
The following is a DFT calculation (PBE) of an optimized crystal structure of Pm5GaCo2.

a b c (Å): 7.697 7.697 8.684
angles (deg): 116.31 116.31 90.00
Fractional coordinates of all 16 atoms:
Pm (0.693, 0.193, 0.723)
Pm (0.307, 0.807, 0.277)
Co (0.612, 0.112, 0.000)
Co (0.112, 0.388, 0.000)
Pm (0.000, 0.000, 0.000)
Pm (0.031, 0.531, 0.723)
Pm (0.500, 0.500, 0.000)
Pm (0.531, 0.693, 0.723)
Pm (0.193, 0.031, 0.723)
Pm (0.807, 0.969, 0.277)
Co (0.888, 0.612, 0.000)
Co (0.388, 0.888, 0.000)
Ga (0.250, 0.250, 0.500)
Ga (0.750, 0.750, 0.500)
Pm (0.469, 0.307, 0.277)
Pm (0.969, 0.469, 0.277)

Computed properties:
Its energy relative to the elements is -203.2 meV per atom. The calculation puts the density at 7.6 Mg/m³. Its density of states at the Fermi level is 18.8 states/eV per cell. As for the electronic total energy: -5.33 eV/atom.